Record 1
A plane-wave DFT calculation with PBE-GGA was carried out for crystalline Sm2Ho3Tm at its relaxed geometry.

CIF file:
```
data_Sm2Ho3Tm
_cell_length_a 16.9729
_cell_length_b 5.6200
_cell_length_c 9.6573
_cell_angle_alpha 90.00
_cell_angle_beta 124.60
_cell_angle_gamma 90.00
_symmetry_space_group_name_H-M 'C 1 2/m 1'
_symmetry_Int_Tables_number 12
_symmetry_space_group_name_Hall '-C 2y'
loop_
_atom_site_label
_atom_site_fract_x
_atom_site_fract_y
_atom_site_fract_z
Sm1 0.0012 0.0000 0.3356
Sm2 0.2493 0.0000 0.5729
Ho1 0.0012 0.5000 0.1686
Ho2 0.1243 0.0000 0.1183
Ho3 0.2498 0.0000 0.9098
Tm1 0.1252 0.5000 0.6317
```

Summary:
Crystal system: monoclinic
V in Å³ per atom: 31.594
Excess energy over the best structure of this formula in the dataset in meV/atom: 0

***

Record 2
A plane-wave DFT calculation with PBE-GGA was carried out for crystalline Sm7Ho2Tm at its relaxed geometry.

CIF file:
```
data_Sm7Ho2Tm
_cell_length_a 6.2185
_cell_length_b 6.2219
_cell_length_c 9.4990
_cell_angle_alpha 102.53
_cell_angle_beta 109.06
_cell_angle_gamma 99.49
_symmetry_space_group_name_H-M 'P -1'
_symmetry_Int_Tables_number 2
_symmetry_space_group_name_Hall '-P 1'
loop_
_atom_site_label
_atom_site_fract_x
_atom_site_fract_y
_atom_site_fract_z
Sm1 0.0000 0.0000 0.0000
Sm2 0.1978 0.9993 0.3997
Sm3 0.2010 0.5015 0.8997
Sm4 0.4020 0.5012 0.3014
Ho1 0.4002 0.9986 0.7995
Tm1 0.0000 0.5000 0.5000
```

Summary:
Crystal system: triclinic
V in Å³ per atom: 32.787
Excess energy over the best structure of this formula in the dataset in meV/atom: 0

***

Record 3
A plane-wave DFT calculation with PBE-GGA was carried out for crystalline SmHo2Tm at its relaxed geometry.

CIF file:
```
data_SmHo2Tm
_cell_length_a 7.9871
_cell_length_b 7.9871
_cell_length_c 7.9871
_cell_angle_alpha 90.00
_cell_angle_beta 90.00
_cell_angle_gamma 90.00
_symmetry_space_group_name_H-M 'F m -3 m'
_symmetry_Int_Tables_number 225
_symmetry_space_group_name_Hall '-F 4 2 3'
loop_
_atom_site_label
_atom_site_fract_x
_atom_site_fract_y
_atom_site_fract_z
Sm1 0.0000 0.0000 0.0000
Ho1 0.2500 0.2500 0.2500
Tm1 0.0000 0.0000 0.5000
```

Summary:
Crystal system: cubic
V in Å³ per atom: 31.846
Excess energy over the best structure of this formula in the dataset in meV/atom: 135

***

Record 4
A plane-wave DFT calculation with PBE-GGA was carried out for crystalline SmHo10Tm4 at its relaxed geometry.

CIF file:
```
data_SmHo10Tm4
_cell_length_a 9.6466
_cell_length_b 9.6466
_cell_length_c 10.3814
_cell_angle_alpha 90.00
_cell_angle_beta 90.00
_cell_angle_gamma 90.00
_symmetry_space_group_name_H-M 'I 4/m'
_symmetry_Int_Tables_number 87
_symmetry_space_group_name_Hall '-I 4'
loop_
_atom_site_label
_atom_site_fract_x
_atom_site_fract_y
_atom_site_fract_z
Sm1 0.0000 0.0000 0.0000
Ho1 0.0000 0.5000 0.2500
Ho2 0.1123 0.2147 0.3407
Tm1 0.0712 0.3363 0.0000
```

Summary:
Crystal system: tetragonal
V in Å³ per atom: 32.202

***

Record 5
A plane-wave DFT calculation with PBE-GGA was carried out for crystalline Sm2Ho7Tm2 at its relaxed geometry.

CIF file:
```
data_Sm2Ho7Tm2
_cell_length_a 11.1490
_cell_length_b 11.4220
_cell_length_c 6.0415
_cell_angle_alpha 90.00
_cell_angle_beta 113.67
_cell_angle_gamma 90.00
_symmetry_space_group_name_H-M 'C 1 2/m 1'
_symmetry_Int_Tables_number 12
_symmetry_space_group_name_Hall '-C 2y'
loop_
_atom_site_label
_atom_site_fract_x
_atom_site_fract_y
_atom_site_fract_z
Sm1 0.0880 0.0000 0.3034
Ho1 0.0000 0.5000 0.5000
Ho2 0.1751 0.2629 0.6797
Ho3 0.2274 0.5000 0.0811
Tm1 0.0000 0.2849 0.0000
```

Summary:
Crystal system: monoclinic
V in Å³ per atom: 32.028
Excess energy over the best structure of this formula in the dataset in meV/atom: 0

***

Record 6
A plane-wave DFT calculation with PBE-GGA was carried out for crystalline Sm5Ho12Tm2 at its relaxed geometry.

CIF file:
```
data_Sm5Ho12Tm2
_cell_length_a 15.5146
_cell_length_b 9.2347
_cell_length_c 8.5849
_cell_angle_alpha 90.00
_cell_angle_beta 92.14
_cell_angle_gamma 90.00
_symmetry_space_group_name_H-M 'C 1 2/m 1'
_symmetry_Int_Tables_number 12
_symmetry_space_group_name_Hall '-C 2y'
loop_
_atom_site_label
_atom_site_fract_x
_atom_site_fract_y
_atom_site_fract_z
Sm1 0.0000 0.0000 0.0000
Sm2 0.2067 0.5000 0.5204
Sm3 0.2309 0.0000 0.0710
Ho1 0.0564 0.5000 0.8362
Ho2 0.0734 0.0000 0.3750
Ho3 0.1296 0.3089 0.1709
Ho4 0.1478 0.1795 0.7392
Tm1 0.0000 0.3274 0.5000
```

Summary:
Crystal system: monoclinic
V in Å³ per atom: 32.345

***

| no. | M_tot (μB per formula unit) | total energy (eV/atom) | calculated formation energy (eV per atom) |
| --- | --- | --- | --- |
| 1 | 0.000 | -4.54 | 0.066 |
| 2 | 0.000 | -4.65 | 0.018 |
| 3 | 0.004 | -4.44 | 0.143 |
| 4 | 0.000 | -4.20 | 0.355 |
| 5 | 0.000 | -4.43 | 0.157 |
| 6 | 0.000 | -4.48 | 0.120 |